Entry 1:
11
Lattice="6.796 0.000 0.000 0.000 5.603 0.000 0.000 -2.802 4.853" Properties=species:S:1:pos:R:3 comment="AlZn7Ag3 (PBE, relaxed)" ef_mev_per_atom=28 sg=P3m1 energy_ev_per_atom=-1.90 pbc="T T T"
Zn 3.059 1.387 0.801
Zn 0.781 0.000 1.602
Zn 3.059 2.802 3.251
Zn 0.781 -1.414 4.051
Zn 3.059 4.216 0.801
Zn 0.796 2.802 1.617
Zn 0.781 1.414 4.051
Ag 5.322 1.402 2.426
Ag 5.322 2.802 0.001
Ag 5.322 4.202 2.426
Al 3.085 0.000 3.235

Entry 2:
4
Lattice="-3.476 0.140 -0.336 0.236 -1.595 -3.101 -0.630 -7.054 3.580" Properties=species:S:1:pos:R:3 comment="BaTa2As (PBE, relaxed)" ef_mev_per_atom=82 sg=P4mm energy_ev_per_atom=-7.49 pbc="T T T"
Ba -2.085 -5.931 0.922
Ta -1.779 -2.505 -0.817
Ta -0.052 -0.588 0.298
As -0.269 -3.013 1.529

Entry 3:
5
Lattice="-0.515 2.594 -4.373 -3.771 -3.143 -1.421 -3.442 3.111 2.251" Properties=species:S:1:pos:R:3 comment="AsCSe2Br (PBE, relaxed)" e_form_raw_ev_per_atom=1.73 e_above_lowest_polymorph_ev_per_atom=0.549 sg=P4/mmm energy_ev_per_atom=-2.77 pbc="T T T"
Se -1.885 -1.572 -0.711
Se -0.257 1.297 -2.186
Br -1.721 1.556 1.126
As 0.000 0.000 0.000
C -3.864 1.281 -1.771

Entry 4:
4
Lattice="-2.336 1.277 3.078 -0.864 -2.517 3.079 1.639 0.638 3.670" Properties=species:S:1:pos:R:3 comment="LiMnFeAs (PBE, relaxed)" ef_mev_per_atom=-150 sg=F-43m energy_ev_per_atom=-6.20 pbc="T T T"
Mn -1.171 -0.451 7.370
Li 0.000 0.000 0.000
As -0.390 -0.150 2.457
Fe -0.781 -0.301 4.914

Entry 5:
12
Lattice="-4.994 -2.103 -4.072 1.273 -4.568 -4.843 -3.546 -10.267 4.008" Properties=species:S:1:pos:R:3 comment="Rb3Tl8Cd (PBE, relaxed)" ef_mev_per_atom=-18 sg=R3m energy_ev_per_atom=-1.91 pbc="T T T"
Tl -1.406 -2.802 -2.470
Tl -4.973 -12.088 -1.773
Tl -3.855 -4.745 -1.281
Tl -0.725 -5.976 -1.666
Tl -2.467 -11.032 0.270
Tl -5.023 -11.214 -4.973
Tl -1.361 -3.695 0.753
Tl -5.612 -9.795 0.657
Cd -2.596 -6.953 1.132
Rb -2.788 -5.519 -5.014
Rb -3.660 -8.562 -2.373
Rb -3.508 -10.135 3.893

Entry 6:
6
Lattice="1.709 -4.405 2.180 3.487 2.582 2.872 -5.044 1.271 0.120" Properties=species:S:1:pos:R:3 comment="Ru2Se (PBE, relaxed)" e_form_raw_ev_per_atom=0.49 e_above_lowest_polymorph_ev_per_atom=0.431 sg=I4/mcm energy_ev_per_atom=-6.85 pbc="T T T"
Ru 2.678 0.889 3.093
Ru -1.090 0.701 1.375
Ru -2.526 -1.440 2.078
Ru 1.242 -1.252 3.797
Se 1.299 -0.456 1.263
Se 3.897 -1.367 3.789

| no. | total magnetic moment (μB per cell) |
| --- | --- |
| 1 | 0.0 |
| 2 | 0.9 |
| 3 | 0.7 |
| 4 | 3.0 |
| 5 | 0.0 |
| 6 | 0.0 |